DFT (PBE) results for a geometry-optimized Nd8Ga2Os structure. Values from VASP.

Cell and atoms, written as Quantum ESPRESSO input:
```
&SYSTEM
  ibrav = 0, nat = 11, ntyp = 3
/
ATOMIC_SPECIES
Os 190.23 Os.upf
Nd 144.24 Nd.upf
Ga 69.72 Ga.upf
ATOMIC_POSITIONS crystal
Os 0.500 0.000 0.000
Nd 0.658 0.886 0.315
Nd 0.342 0.571 0.685
Nd 0.120 0.120 0.241
Nd 0.000 0.331 0.000
Nd 0.880 0.880 0.759
Nd 0.658 0.429 0.315
Nd 0.342 0.114 0.685
Nd 0.000 0.669 0.000
Ga 0.194 0.694 0.388
Ga 0.806 0.306 0.612
CELL_PARAMETERS angstrom
4.717 0.000 -1.436
-1.288 7.452 -4.232
0.130 0.034 8.894
```

Output
Energy of formation ... -0.112 eV/atom
Symmetry ... Immm
Energy above the lowest structure with this stoichiometry ... 104 meV per atom